VASP calculation (PBE) on an optimized crystal structure of Pr3Nd2ErAs6.

a b c (Å): 9.524 9.524 8.518
angles (deg): 102.93 102.93 25.87
Positions (direct):
Pr (0.000, 0.000, 0.000)
Pr (0.333, 0.333, 0.666)
Pr (0.667, 0.667, 0.334)
Nd (0.334, 0.334, 0.168)
Nd (0.666, 0.666, 0.832)
Er (0.000, 0.000, 0.500)
As (0.163, 0.163, 0.583)
As (0.167, 0.167, 0.082)
As (0.500, 0.500, 0.259)
As (0.500, 0.500, 0.741)
As (0.833, 0.833, 0.918)
As (0.837, 0.837, 0.417)

---

VASP calculation (PBE) on an optimized crystal structure of B2C.

a b c (Å): 4.825 2.684 6.831
angles (deg): 90.00 96.34 90.00
Positions (direct):
B (0.000, 0.000, 0.000)
B (0.004, 0.000, 0.552)
B (0.367, 0.000, 0.585)
B (0.496, 0.500, 0.986)
B (0.549, 0.500, 0.723)
B (0.684, 0.000, 0.273)
B (0.838, 0.500, 0.611)
B (0.923, 0.500, 0.373)
C (0.179, 0.500, 0.039)
C (0.220, 0.500, 0.271)
C (0.380, 0.000, 0.348)
C (0.679, 0.000, 0.018)

---

VASP calculation (PBE) on an optimized crystal structure of Co2PdRuC.

a b c (Å): 3.862 3.862 3.972
angles (deg): 90.00 90.00 90.00
Positions (direct):
Co (0.000, 0.500, 0.000)
Co (0.500, 0.000, 0.000)
Pd (0.000, 0.000, 0.500)
Ru (0.500, 0.500, 0.500)
C (0.500, 0.500, 0.000)

---

no.,uncorrected energy (eV per atom),Fermi-level density of states (states/eV per cell),energy relative to the elements (eV per atom)
1,-6.19,1.75,-1.50
2,-6.97,2.47,0.55
3,-7.34,6.26,0.24